! CaTl2MoF8 (GGA+U, relaxed); values from VASP
! electronic total energy: -5.016 eV per atom
! size of the total moment: 1.987 μB/f.u.
&SYSTEM
  ibrav = 0, nat = 12, ntyp = 4
/
ATOMIC_SPECIES
Ca 40.08 Ca.upf
Tl 204.38 Tl.upf
Mo 95.94 Mo.upf
F 19.00 F.upf
ATOMIC_POSITIONS crystal
Ca 0.000 0.000 0.000
Tl 0.494 0.509 0.749
Tl 0.506 0.491 0.251
Mo 0.000 0.000 0.500
F 0.137 0.836 0.722
F 0.139 0.837 0.287
F 0.318 0.247 0.998
F 0.323 0.182 0.501
F 0.677 0.818 0.499
F 0.682 0.753 0.002
F 0.861 0.163 0.713
F 0.863 0.164 0.278
CELL_PARAMETERS angstrom
5.000 0.000 0.000
-0.311 6.518 0.000
-0.037 -0.014 7.247